Crystalline CeHo3Er12 at its relaxed geometry. Source: Alexandria, functional PBE.

Computed properties:
Crystal system   tetragonal
N(E_F)   1.4433 states/eV/atom
Electronic total energy   -4.618 eV/atom

Cell lengths 4.961, 4.961, 19.858 Å; angles 90.00, 90.00, 90.00 degrees
Space group P4/mmm (No. 123)
Symmetry-distinct sites (fractional):
Ce1 0.000 0.000 0.000 x1
Ho1 0.000 0.000 0.249 x2
Ho2 0.000 0.000 0.500 x1
Er1 0.000 0.500 0.124 x4
Er2 0.000 0.500 0.375 x4
Er3 0.500 0.500 0.000 x1
Er4 0.500 0.500 0.251 x2
Er5 0.500 0.500 0.500 x1


Crystalline BaTc4Pt at its relaxed geometry. Source: Alexandria, functional PBE.

Computed properties:
Crystal system   cubic
N(E_F)   1.6965 states/eV/atom
Electronic total energy   -7.468 eV/atom

Cell lengths 7.608, 7.608, 7.608 Å; angles 90.00, 90.00, 90.00 degrees
Space group F-43m (No. 216)
Symmetry-distinct sites (fractional):
Ba1 0.000 0.000 0.000 x4
Tc1 0.123 0.123 0.377 x16
Pt1 0.250 0.250 0.750 x4


Crystalline La7SbAs5 at its relaxed geometry. Source: Alexandria, functional PBE.

Computed properties:
Crystal system   orthorhombic
N(E_F)   0.3799 states/eV/atom
ΔE_f (raw)   -1425 meV/atom
Electronic total energy   -6.184 eV/atom

Cell lengths 4.391, 14.396, 25.796 Å; angles 90.00, 90.00, 90.00 degrees
Space group Cmcm (No. 63)
Symmetry-distinct sites (fractional):
La1 0.000 0.037 0.250 x4
La2 0.000 0.137 0.535 x8
La3 0.000 0.322 0.174 x8
La4 0.000 0.410 0.605 x8
Sb1 0.000 0.298 0.750 x4
As1 0.000 0.045 0.644 x8
As2 0.000 0.227 0.073 x8
As3 0.000 0.500 0.000 x4